(1)
A relaxed structure of Pr3TcI3. Source: Alexandria via LeMat-Bulk, functional PBE-GGA.

extended XYZ file:
```
14
Lattice="9.647 0.000 0.000 0.000 4.280 0.000 -0.460 0.000 12.714" Properties=species:S:1:pos:R:3 pbc="T T T"
Pr 0.766 1.070 4.944
Pr 0.757 1.070 10.527
Pr 2.768 3.210 7.903
Pr 6.419 1.070 4.811
Pr 8.430 3.210 2.187
Pr 8.422 3.210 7.770
Tc 0.812 1.070 7.957
Tc 8.375 3.210 4.757
I 1.171 1.070 1.536
I 3.112 3.210 11.130
I 3.590 3.210 4.689
I 5.597 1.070 8.025
I 6.075 1.070 1.584
I 8.017 3.210 11.178
```

Results
- V (Å³ per atom) = 37.5
- final energy (eV/cell) = -70.31
- formation energy from raw total energies (meV per atom) = -828
- density of states at the Fermi level (states/eV per cell) = 4.7

(2)
A relaxed structure of AcPd2Au. Source: Alexandria via LeMat-Bulk, functional PBE-GGA.

extended XYZ file:
```
12
Lattice="4.678 0.000 0.000 -2.339 4.051 0.000 0.000 0.000 14.557" Properties=species:S:1:pos:R:3 pbc="T T T"
Ac 0.000 0.000 0.000
Ac 0.000 2.701 9.704
Ac 2.339 1.350 4.852
Pd 0.000 0.000 3.025
Pd 0.000 0.000 11.532
Pd 0.000 2.701 6.680
Pd 0.000 2.701 12.729
Pd 2.339 1.350 1.827
Pd 2.339 1.350 7.877
Au 0.000 0.000 7.278
Au 0.000 2.701 2.426
Au 2.339 1.350 12.131
```

Results
- E above lowest polymorph (eV per atom) = 0.043
- V (Å³ per atom) = 23.0
- formation enthalpy at 0 K (eV/f.u.) = -2.824
- final energy (eV/cell) = -61.79
- density of states at the Fermi level (states/eV per cell) = 4.0

(3)
A relaxed structure of CaAg2Br2Cl2. Source: Alexandria via LeMat-Bulk, functional PBE-GGA.

extended XYZ file:
```
7
Lattice="4.376 0.000 0.000 -0.004 6.906 0.000 -0.060 -2.808 6.774" Properties=species:S:1:pos:R:3 pbc="T T T"
Ca 0.000 0.000 0.000
Ag 2.110 0.023 4.026
Ag 2.202 4.075 2.747
Br 2.125 2.925 5.173
Br 2.187 1.173 1.600
Cl 0.008 4.709 1.596
Cl 4.303 -0.612 5.178
```

Results
- V (Å³ per atom) = 29.2
- final energy (eV/cell) = -22.79
- formation energy from raw total energies (meV per atom) = -1149
- density of states at the Fermi level (states/eV per cell) = 0.0

(4)
A relaxed structure of As2RhSe. Source: Alexandria via LeMat-Bulk, functional PBE-GGA.

extended XYZ file:
```
16
Lattice="5.841 0.000 0.000 0.000 5.841 0.000 0.000 0.000 11.487" Properties=species:S:1:pos:R:3 pbc="T T T"
As 1.185 1.460 1.436
As 1.460 4.106 4.308
As 1.460 4.655 10.051
As 1.735 1.460 7.179
As 4.106 4.380 7.179
As 4.380 1.185 10.051
As 4.380 1.735 4.308
As 4.655 4.380 1.436
Rh 0.000 0.000 0.000
Rh 0.000 2.920 2.872
Rh 2.920 0.000 8.615
Rh 2.920 2.920 5.743
Se 0.000 0.000 5.743
Se 0.000 2.920 8.615
Se 2.920 0.000 2.872
Se 2.920 2.920 0.000
```

Results
- V (Å³ per atom) = 24.5
- final energy (eV/cell) = -80.32
- formation energy from raw total energies (meV per atom) = 14
- density of states at the Fermi level (states/eV per cell) = 11.6